The following is a PBE calculation of a relaxed Cs2AgHgAs crystal, from Alexandria via LeMat-Bulk.

Structure (POSCAR):
```
Cs2AgHgAs
1.0
7.165 0.000 0.000
0.000 7.165 0.000
0.000 0.000 4.902
Cs Ag Hg As
2 1 1 1
direct
0.000 0.500 0.000
0.500 0.000 0.000
0.000 0.000 0.500
0.500 0.500 0.500
0.000 0.000 0.000
```

Properties
Formation enthalpy at 0 K (eV per atom): -0.15
SG: P4/mmm (123)
VASP energy (eV per atom): -2.053
Energy above the lowest structure with this stoichiometry (meV per atom): 0

=====

The following is a PBE calculation of a relaxed Ti4CdSe8 crystal, from Alexandria via LeMat-Bulk.

Structure (POSCAR):
```
Ti4CdSe8
1.0
0.000 5.362 5.362
5.362 0.000 5.362
5.362 5.362 0.000
Ti Cd Se
4 1 8
direct
0.114 0.114 0.114
0.114 0.114 0.658
0.114 0.658 0.114
0.658 0.114 0.114
0.500 0.500 0.500
0.361 0.361 0.361
0.361 0.361 0.918
0.361 0.918 0.361
0.369 0.877 0.877
0.877 0.369 0.877
0.877 0.877 0.369
0.877 0.877 0.877
0.918 0.361 0.361
```

Properties
Formation energy (no corrections) (kJ/mol of atoms): -99
SG: F-43m (216)
VASP energy (eV per atom): -5.665
Energy above the lowest structure with this stoichiometry (meV per atom): 15

=====

The following is a PBE calculation of a relaxed Pm3SmSe4 crystal, from Alexandria via LeMat-Bulk.

Structure (POSCAR):
```
Pm3SmSe4
1.0
5.928 0.000 0.000
0.000 5.928 0.000
0.000 0.000 5.928
Pm Sm Se
3 1 4
direct
0.000 0.000 0.500
0.000 0.500 0.000
0.500 0.000 0.000
0.500 0.500 0.500
0.000 0.000 0.000
0.000 0.500 0.500
0.500 0.000 0.500
0.500 0.500 0.000
```

Properties
Formation energy (no corrections) (kJ/mol of atoms): -176
SG: Pm-3m (221)
VASP energy (eV per atom): -5.935
Energy above the lowest structure with this stoichiometry (meV per atom): 12

=====

The following is a PBE calculation of a relaxed TmInHgRh crystal, from Alexandria via LeMat-Bulk.

Structure (POSCAR):
```
TmInHgRh
1.0
0.000 3.450 3.450
3.450 0.000 3.450
3.450 3.450 0.000
Tm In Hg Rh
1 1 1 1
direct
0.000 0.000 0.000
0.500 0.500 0.500
0.750 0.750 0.750
0.250 0.250 0.250
```

Properties
Formation enthalpy at 0 K (eV per atom): -0.42
SG: F-43m (216)
VASP energy (eV per atom): -4.137

=====

The lowest VASP energy belongs to which entry?
Pm3SmSe4

=====

Which of these has the highest VASP energy?
Cs2AgHgAs

=====

The lowest VASP energy belongs to which entry?
Pm3SmSe4